P) {"formula": "ZrOsRh2", "functional": "SCAN", "state": "single point on PBEsol structure", "lattice_angstrom": [[3.9300, 0.0000, 0.0000], [0.0000, 3.9300, 0.0000], [-1.9650, -1.9650, 3.9137]], "species": ["Zr", "Os", "Rh", "Rh"], "fractional_positions": [[0.5000, 0.5000, 0.0000], [0.2500, 0.7500, 0.5000], [0.7500, 0.2500, 0.5000], [0.0000, 0.0000, 0.0000]], "dos_at_fermi_per_ev_fu": 4.086, "density_g_cm3": 13.39}

=====

Q) {"formula": "ZrOsRh2", "functional": "SCAN", "state": "single point on PBEsol structure", "lattice_angstrom": [[-0.1558, 2.7638, 0.7400], [-1.5715, -1.2349, 4.2814], [4.6058, -1.3180, 0.3445]], "species": ["Os", "Rh", "Rh", "Zr"], "fractional_positions": [[0.0000, 0.5000, 0.0000], [0.2564, 0.2683, 0.5128], [0.7436, 0.7317, 0.4872], [0.5000, 0.0000, 0.0000]], "dos_at_fermi_per_ev_fu": 2.711, "density_g_cm3": 13.28}

=====

Which is most stable? The ranking, best first, is P), Q).

=====

P) {"formula": "TaOsRu2", "functional": "SCAN", "state": "single point on PBEsol structure", "lattice_angstrom": [[-0.8604, 2.1876, -1.4178], [-0.5620, -1.6136, -2.1486], [-7.1609, -1.0779, 2.6824]], "species": ["Ru", "Ru", "Os", "Ta"], "fractional_positions": [[0.5000, 0.5000, 0.2350], [0.0000, 0.0000, 0.0000], [0.5000, 0.5000, 0.7675], [0.0000, 0.0000, 0.4976]], "dos_at_fermi_per_ev_fu": 3.831, "density_g_cm3": 16.36}

=====

Q) {"formula": "TaOsRu2", "functional": "SCAN", "state": "single point on PBEsol structure", "lattice_angstrom": [[-1.5109, -0.9252, -3.4416], [3.5335, 0.0972, -1.5773], [-0.5487, -3.3370, 3.3147]], "species": ["Ta", "Ru", "Ru", "Os"], "fractional_positions": [[0.0000, 0.0000, 0.0000], [0.2500, 0.7500, 0.5000], [0.7500, 0.2500, 0.5000], [0.5000, 0.5000, 0.0000]], "dos_at_fermi_per_ev_fu": 3.909, "density_g_cm3": 16.44}

=====

R) {"formula": "TaOsRu2", "functional": "SCAN", "state": "single point on PBEsol structure", "lattice_angstrom": [[2.7581, -0.0004, 0.0012], [-0.0008, 4.7372, 0.0064], [-1.3770, -0.7933, 4.4470]], "species": ["Ta", "Ru", "Ru", "Os"], "fractional_positions": [[0.4999, 0.5049, 0.9998], [0.0005, 0.0070, 0.0009], [0.2550, 0.7611, 0.5098], [0.7446, 0.2270, 0.4895]], "dos_at_fermi_per_ev_fu": 3.294, "density_g_cm3": 16.38}

=====

S) {"formula": "TaOsRu2", "functional": "SCAN", "state": "single point on PBEsol structure", "lattice_angstrom": [[-2.1330, -2.0252, 0.5415], [2.9711, -3.2330, -0.3884], [0.8563, 0.2634, 4.3583]], "species": ["Os", "Ru", "Ru", "Ta"], "fractional_positions": [[0.0000, 0.5000, 0.5000], [0.0000, 0.0000, 0.0000], [0.5000, 0.0000, 0.5000], [0.5000, 0.5000, 0.0000]], "dos_at_fermi_per_ev_fu": 3.911, "density_g_cm3": 16.23}

=====

Which is most stable? The ranking, best first, is Q), R), P), S).

=====

P) {"formula": "TcOsRu2", "functional": "SCAN", "state": "single point on PBEsol structure", "lattice_angstrom": [[3.1884, 0.0000, 0.0000], [0.0000, 3.1884, 0.0000], [0.0000, 0.0000, 5.5121]], "species": ["Tc", "Os", "Ru", "Ru"], "fractional_positions": [[0.0000, 0.0000, 0.4909], [0.5000, 0.5000, 0.7549], [0.5000, 0.5000, 0.2396], [0.0000, 0.0000, 0.0146]], "dos_at_fermi_per_ev_fu": 3.245, "density_g_cm3": 14.53}

=====

Q) {"formula": "TcOsRu2", "functional": "SCAN", "state": "single point on PBEsol structure", "lattice_angstrom": [[-0.1608, 0.0589, -2.6746], [2.0344, -0.9153, -1.4852], [-2.9566, -8.3074, -1.3481]], "species": ["Os", "Ru", "Ru", "Tc"], "fractional_positions": [[0.0000, 0.0000, 0.0000], [0.7502, 0.7502, 0.7494], [0.2498, 0.2498, 0.2506], [0.5000, 0.5000, 0.5000]], "dos_at_fermi_per_ev_fu": 4.158, "density_g_cm3": 14.90}

=====

R) {"formula": "TcOsRu2", "functional": "SCAN", "state": "single point on PBEsol structure", "lattice_angstrom": [[-1.4883, -2.2467, 0.2777], [2.1618, -0.9916, 3.5628], [-3.1263, 2.3876, 2.5615]], "species": ["Ru", "Ru", "Os", "Tc"], "fractional_positions": [[0.0000, 0.0000, 0.0439], [0.0000, 0.5000, 0.7070], [0.5000, 0.5000, 0.2086], [0.5000, 0.0000, 0.5406]], "dos_at_fermi_per_ev_fu": 2.603, "density_g_cm3": 14.95}

=====

Which is most stable? The ranking, best first, is R), Q), P).

=====

P) {"formula": "TcOs2Ru", "functional": "SCAN", "state": "single point on PBEsol structure", "lattice_angstrom": [[-1.1012, 2.2367, -1.0152], [-0.1916, 0.3152, -2.6664], [-8.3608, -3.0014, -1.1126]], "species": ["Ru", "Os", "Os", "Tc"], "fractional_positions": [[0.5002, 0.5002, 0.4995], [0.7505, 0.7505, 0.7486], [0.9998, 0.9998, 0.0007], [0.2496, 0.2496, 0.2512]], "dos_at_fermi_per_ev_fu": 3.862, "density_g_cm3": 17.39}

=====

Q) {"formula": "TcOs2Ru", "functional": "SCAN", "state": "single point on PBEsol structure", "lattice_angstrom": [[-2.6749, 0.0013, 0.4576], [0.6394, -2.2919, 3.7440], [1.4360, 5.2379, 0.3331]], "species": ["Tc", "Os", "Os", "Ru"], "fractional_positions": [[0.0000, 0.5000, 0.0000], [0.2249, 0.2249, 0.4498], [0.7751, 0.7751, 0.5502], [0.5000, 0.0000, 0.0000]], "dos_at_fermi_per_ev_fu": 5.082, "density_g_cm3": 16.72}

=====

Which is most stable? The ranking, best first, is P), Q).

=====

P) {"formula": "Te2OsRu", "functional": "SCAN", "state": "single point on PBEsol structure", "lattice_angstrom": [[3.8982, 0.0000, 0.0000], [0.0000, 3.8982, 0.0000], [-1.9491, -1.9491, 4.6754]], "species": ["Te", "Te", "Ru", "Os"], "fractional_positions": [[0.0000, 0.0000, 0.0000], [0.7500, 0.2500, 0.5000], [0.2500, 0.7500, 0.5000], [0.5000, 0.5000, 0.0000]], "dos_at_fermi_per_ev_fu": 4.131, "density_g_cm3": 12.77}

=====

Q) {"formula": "Te2OsRu", "functional": "SCAN", "state": "single point on PBEsol structure", "lattice_angstrom": [[3.2064, 0.0000, 0.0000], [-1.6032, 4.1232, 0.0086], [0.0000, -1.2566, 5.4122]], "species": ["Te", "Te", "Os", "Ru"], "fractional_positions": [[0.2494, 0.4988, 0.2485], [0.7506, 0.5012, 0.7515], [0.0000, 0.0000, 0.5000], [0.5000, 0.0000, 0.0000]], "dos_at_fermi_per_ev_fu": 3.123, "density_g_cm3": 12.68}

=====

Which is most stable? The ranking, best first, is Q), P).

=====

P) {"formula": "TlOs2Ru", "functional": "SCAN", "state": "single point on PBEsol structure", "lattice_angstrom": [[-1.4017, -0.9413, 3.5385], [3.0744, -2.3604, 0.5900], [1.1837, 4.6837, -0.4572]], "species": ["Tl", "Os", "Os", "Ru"], "fractional_positions": [[0.2500, 0.7500, 0.5000], [0.0000, 0.0000, 0.0000], [0.7500, 0.2500, 0.5000], [0.5000, 0.5000, 0.0000]], "dos_at_fermi_per_ev_fu": 3.834, "density_g_cm3": 18.60}

=====

Q) {"formula": "TlOs2Ru", "functional": "SCAN", "state": "single point on PBEsol structure", "lattice_angstrom": [[2.8186, 0.0000, 0.0000], [-1.4093, 4.5401, 0.0146], [0.0000, -0.8529, 4.8830]], "species": ["Tl", "Os", "Os", "Ru"], "fractional_positions": [[0.7524, 0.5047, 0.2625], [0.2474, 0.4948, 0.7669], [0.9894, 0.9789, 0.9540], [0.5108, 0.0216, 0.5166]], "dos_at_fermi_per_ev_fu": 4.319, "density_g_cm3": 18.22}

=====

Which is most stable? The ranking, best first, is Q), P).